{"formula": "Cs2RbTlBr6", "functional": "SCAN", "state": "PBEsol geometry", "lattice": [[-1.0449, -8.1973, 1.0523], [5.8852, -4.4929, 3.8174], [-1.3930, -3.0777, 7.6146]], "species": ["Br", "Tl", "Br", "Br", "Br", "Rb", "Br", "Br", "Cs", "Cs"], "frac_coords": [[0.2316, 0.7684, 0.2316], [0.0000, 0.0000, 0.0000], [0.7684, 0.2316, 0.7684], [0.7684, 0.2316, 0.2316], [0.7684, 0.7684, 0.2316], [0.5000, 0.5000, 0.5000], [0.2316, 0.7684, 0.7684], [0.2316, 0.2316, 0.7684], [0.7500, 0.7500, 0.7500], [0.2500, 0.2500, 0.2500]], "m_tot_mub_per_fu": 0.00, "rho_g_cm3": 4.2, "e_form_raw_ev_per_atom": -1.403, "e_tot_ev_per_atom": -29.951, "dos_at_fermi_per_ev_cell": 0.0}

***

{"formula": "CsRbTlBr2", "functional": "SCAN", "state": "PBEsol geometry", "lattice": [[6.3062, 0.0000, 0.0000], [0.0000, 6.3062, 0.0000], [0.0000, 0.0000, 6.3373]], "species": ["Br", "Tl", "Cs", "Rb", "Br"], "frac_coords": [[0.5000, 0.0000, 0.0000], [0.0000, 0.0000, 0.5000], [0.5000, 0.5000, 0.5000], [0.0000, 0.0000, 0.0000], [0.0000, 0.5000, 0.0000]], "m_tot_mub_per_fu": 1.00, "rho_g_cm3": 3.8, "e_form_raw_ev_per_atom": -0.919, "e_tot_ev_per_atom": -34.884, "dos_at_fermi_per_ev_cell": 4.2}

***

{"formula": "CsRb2YBr6", "functional": "SCAN", "state": "PBEsol geometry", "lattice": [[-6.2048, 3.2324, 4.9716], [-7.6550, 1.9033, -3.3827], [-6.8605, -4.7743, 1.9505]], "species": ["Cs", "Y", "Br", "Rb", "Br", "Br", "Br", "Br", "Br", "Rb"], "frac_coords": [[0.5000, 0.5000, 0.5000], [0.0000, 0.0000, 0.0000], [0.2267, 0.2267, 0.7733], [0.7500, 0.7500, 0.7500], [0.7733, 0.2267, 0.2267], [0.7733, 0.7733, 0.2267], [0.7733, 0.2267, 0.7733], [0.2267, 0.7733, 0.2267], [0.2267, 0.7733, 0.7733], [0.2500, 0.2500, 0.2500]], "m_tot_mub_per_fu": 0.00, "rho_g_cm3": 3.2, "e_form_raw_ev_per_atom": -1.963, "e_tot_ev_per_atom": -24.352, "dos_at_fermi_per_ev_cell": 0.0}

***

{"formula": "CsReSb2Br", "functional": "SCAN", "state": "PBEsol geometry", "lattice": [[5.0866, 0.0000, 0.0000], [0.0000, 5.0866, 0.0000], [0.0000, 0.0000, 5.9522]], "species": ["Sb", "Re", "Cs", "Sb", "Br"], "frac_coords": [[0.0000, 0.5000, 0.0000], [0.0000, 0.0000, 0.0000], [0.5000, 0.5000, 0.5000], [0.5000, 0.0000, 0.0000], [0.0000, 0.0000, 0.5000]], "m_tot_mub_per_fu": 0.00, "rho_g_cm3": 6.9, "e_form_raw_ev_per_atom": 0.044, "e_tot_ev_per_atom": -40.533, "dos_at_fermi_per_ev_cell": 2.9}

***

{"formula": "Cs5Tc6S8Br7", "functional": "SCAN", "state": "PBEsol geometry", "lattice": [[-8.1233, 1.8663, -5.4108], [0.4295, -0.4310, -9.9186], [-6.9703, -17.0433, -4.5392]], "species": ["Cs", "Br", "Cs", "Br", "Br", "Br", "S", "Cs", "Tc", "Br", "Cs", "S", "S", "S", "Cs", "Br", "S", "Br", "S", "Cs", "S", "Tc", "S", "Tc", "Tc", "Cs", "Tc", "S", "Br", "S", "Tc", "Br", "S", "S", "Tc", "Br", "Tc", "Tc", "S", "Br", "Br", "Cs", "S", "Br", "Br", "Tc", "Tc", "S", "Tc", "S", "Cs", "Cs"], "frac_coords": [[0.1824, 0.1824, 0.4529], [0.7500, 0.7500, 0.7500], [0.2500, 0.9036, 0.2500], [0.3283, 0.6063, 0.1379], [0.0725, 0.6717, 0.8621], [0.9275, 0.3283, 0.1379], [0.6994, 0.2497, 0.0533], [0.0964, 0.4036, 0.7500], [0.8658, 0.1640, 0.9421], [0.2500, 0.2500, 0.2500], [0.7500, 0.0964, 0.7500], [0.3006, 0.7503, 0.9467], [0.9977, 0.6994, 0.0533], [0.7503, 0.0023, 0.9467], [0.8176, 0.8176, 0.5471], [0.1717, 0.5725, 0.3621], [0.5536, 0.5536, 0.3391], [0.6063, 0.9275, 0.1379], [0.2503, 0.8006, 0.4467], [0.6824, 0.6824, 0.9529], [0.1994, 0.4977, 0.5533], [0.8360, 0.9719, 0.0579], [0.8006, 0.5023, 0.4467], [0.9719, 0.1342, 0.0579], [0.1342, 0.8360, 0.0579], [0.3176, 0.3176, 0.0471], [0.6342, 0.4719, 0.5579], [0.9464, 0.9464, 0.1609], [0.8937, 0.1717, 0.3621], [0.2497, 0.9977, 0.0533], [0.0281, 0.8658, 0.9421], [0.3937, 0.0725, 0.8621], [0.5023, 0.2503, 0.4467], [0.4977, 0.7497, 0.5533], [0.3360, 0.6342, 0.5579], [0.4275, 0.1063, 0.6379], [0.3658, 0.5281, 0.4421], [0.4719, 0.3360, 0.5579], [0.0023, 0.3006, 0.9467], [0.8283, 0.4275, 0.6379], [0.6717, 0.3937, 0.8621], [0.9036, 0.5964, 0.2500], [0.4464, 0.4464, 0.6609], [0.5725, 0.8937, 0.3621], [0.1063, 0.8283, 0.6379], [0.1640, 0.0281, 0.9421], [0.6640, 0.3658, 0.4421], [0.7497, 0.1994, 0.5533], [0.5281, 0.6640, 0.4421], [0.0536, 0.0536, 0.8391], [0.5964, 0.2500, 0.2500], [0.4036, 0.7500, 0.7500]], "m_tot_mub_per_fu": 0.00, "rho_g_cm3": 4.4, "e_form_raw_ev_per_atom": -1.259, "e_tot_ev_per_atom": -24.822, "dos_at_fermi_per_ev_cell": 0.0}

***

{"formula": "Cs2TlSbBr6", "functional": "SCAN", "state": "PBEsol geometry", "lattice": [[-5.8528, 1.8455, -5.4852], [-7.5886, -3.0606, 0.8918], [-6.2149, 4.9607, 2.1248]], "species": ["Cs", "Sb", "Br", "Br", "Cs", "Br", "Br", "Tl", "Br", "Br"], "frac_coords": [[0.2500, 0.2500, 0.2500], [0.0000, 0.0000, 0.0000], [0.2385, 0.7615, 0.2385], [0.2385, 0.2385, 0.7615], [0.7500, 0.7500, 0.7500], [0.7615, 0.2385, 0.7615], [0.7615, 0.2385, 0.2385], [0.5000, 0.5000, 0.5000], [0.2385, 0.7615, 0.7615], [0.7615, 0.7615, 0.2385]], "m_tot_mub_per_fu": 0.00, "rho_g_cm3": 4.5, "e_form_raw_ev_per_atom": -1.267, "e_tot_ev_per_atom": -31.467}